This record from the Alexandria database describes an optimized crystal structure of CdW2SeF. The functional is GGA+U.

Calculated values
DOS(E_F)	3.90	states/eV/f.u.
total magnetization	8.20	μB/f.u.
crystal system	tetragonal
E	-15.2	eV per cell

The structure in POSCAR format:
```
CdW2SeF
1.0
5.438 0.000 0.000
0.000 4.312 0.000
0.000 0.000 5.438
F Se W Cd
1 1 2 1
direct
0.000 0.500 0.000
0.500 0.500 0.500
0.000 0.000 0.500
0.500 0.000 0.000
0.000 0.000 0.000
```